BaPd5 | GGA-PBE | optimized geometry

CIF file:
```
data_BaPd5
_space_group_name_H-M_alt 'P 1'
_space_group_IT_number 1
_cell_length_a 5.605
_cell_length_b 5.605
_cell_length_c 4.409
_cell_angle_alpha 90.00
_cell_angle_beta 90.00
_cell_angle_gamma 120.00
loop_
_space_group_symop_operation_xyz
'x,y,z'
loop_
_atom_site_label
_atom_site_fract_x
_atom_site_fract_y
_atom_site_fract_z
Ba1 0.000 0.000 0.000
Pd1 0.000 0.500 0.500
Pd2 0.333 0.667 0.000
Pd3 0.500 0.000 0.500
Pd4 0.500 0.500 0.500
Pd5 0.667 0.333 0.000
```

volume: 119.9 Å³ per cell
total moment: 0.0 μB per formula unit
SG: P6/mmm (191)
formation enthalpy at 0 K: -327 meV/atom
uncorrected energy: -4.975 eV per atom

***

Ba2Pd | GGA-PBE | optimized geometry

CIF file:
```
data_Ba2Pd
_space_group_name_H-M_alt 'P 1'
_space_group_IT_number 1
_cell_length_a 4.005
_cell_length_b 4.005
_cell_length_c 8.144
_cell_angle_alpha 104.21
_cell_angle_beta 104.21
_cell_angle_gamma 89.85
loop_
_space_group_symop_operation_xyz
'x,y,z'
loop_
_atom_site_label
_atom_site_fract_x
_atom_site_fract_y
_atom_site_fract_z
Ba1 0.123 0.123 0.244
Ba2 0.877 0.877 0.756
Pd1 0.500 0.500 0.000
```

volume: 122.5 Å³ per cell
total moment: 0.0 μB per formula unit
SG: C2/m (12)
ΔE to the lowest computed polymorph: 76.8 meV per atom
formation enthalpy at 0 K: -347 meV/atom
uncorrected energy: -3.360 eV per atom

***

Ba2Pd | GGA-PBE | optimized geometry

CIF file:
```
data_Ba2Pd
_space_group_name_H-M_alt 'P 1'
_space_group_IT_number 1
_cell_length_a 8.619
_cell_length_b 5.163
_cell_length_c 10.448
_cell_angle_alpha 90.00
_cell_angle_beta 90.00
_cell_angle_gamma 90.00
loop_
_space_group_symop_operation_xyz
'x,y,z'
loop_
_atom_site_label
_atom_site_fract_x
_atom_site_fract_y
_atom_site_fract_z
Ba1 0.011 0.250 0.162
Ba2 0.143 0.250 0.578
Ba3 0.357 0.750 0.078
Ba4 0.489 0.750 0.662
Ba5 0.511 0.250 0.338
Ba6 0.643 0.250 0.922
Ba7 0.857 0.750 0.422
Ba8 0.989 0.750 0.838
Pd1 0.245 0.250 0.901
Pd2 0.255 0.750 0.401
Pd3 0.745 0.250 0.599
Pd4 0.755 0.750 0.099
```

volume: 465.0 Å³ per cell
total moment: 0.0 μB per formula unit
SG: Pnma (62)
ΔE to the lowest computed polymorph: 66.3 meV per atom
formation enthalpy at 0 K: -358 meV/atom
uncorrected energy: -3.370 eV per atom

***

no.,DOS at the Fermi energy (states/eV per atom)
1,1.03
2,0.91
3,0.63